Crystalline Sm3Y8Sc2 at its relaxed geometry, computed with GGA-PBE.

```
data_Sm3Y8Sc2
_symmetry_space_group_name_H-M 'C 1 2/m 1'
_symmetry_Int_Tables_number 12
_cell_length_a 14.761
_cell_length_b 9.121
_cell_length_c 6.769
_cell_angle_alpha 90.00
_cell_angle_beta 109.08
_cell_angle_gamma 90.00
loop_
_symmetry_equiv_pos_as_xyz
'x,y,z'
'-x,-y,-z'
'-x,y,-z'
'x,-y,z'
'x+1/2,y+1/2,z'
'-x+1/2,-y+1/2,-z'
'-x+1/2,y+1/2,-z'
'x+1/2,-y+1/2,z'
loop_
_atom_site_label
_atom_site_type_symbol
_atom_site_fract_x
_atom_site_fract_y
_atom_site_fract_z
_atom_site_occupancy
Sm1 Sm 0.000 0.000 0.000 1
Sm2 Sm 0.000 0.172 0.500 1
Y1 Y 0.093 0.500 0.721 1
Y2 Y 0.122 0.319 0.195 1
Y3 Y 0.191 0.000 0.898 1
Sc1 Sc 0.202 0.000 0.424 1
```

Calculated values
Formation enthalpy at 0 K = 0.236 eV/atom
Total moment = 0.0000 μB per atom

---

Crystalline Pm2HoPaS4 at its relaxed geometry, computed with GGA-PBE.

```
data_Pm2HoPaS4
_symmetry_space_group_name_H-M 'P 1 2/m 1'
_symmetry_Int_Tables_number 10
_cell_length_a 6.864
_cell_length_b 3.933
_cell_length_c 6.874
_cell_angle_alpha 90.00
_cell_angle_beta 109.05
_cell_angle_gamma 90.00
loop_
_symmetry_equiv_pos_as_xyz
'x,y,z'
'-x,-y,-z'
'-x,y,-z'
'x,-y,z'
loop_
_atom_site_label
_atom_site_type_symbol
_atom_site_fract_x
_atom_site_fract_y
_atom_site_fract_z
_atom_site_occupancy
Pm1 Pm 0.000 0.000 0.000 1
Pm2 Pm 0.000 0.500 0.500 1
Ho1 Ho 0.500 0.000 0.500 1
Pa1 Pa 0.500 0.500 0.000 1
S1 S 0.260 0.000 0.751 1
S2 S 0.263 0.500 0.255 1
```

Calculated values
Total moment = 0.0002 μB per atom
Formation energy (no corrections) = -1894 meV per atom

---

Crystalline Ta2ZnH at its relaxed geometry, computed with GGA-PBE.

```
data_Ta2ZnH
_symmetry_space_group_name_H-M 'C 1 2/c 1'
_symmetry_Int_Tables_number 15
_cell_length_a 5.146
_cell_length_b 9.925
_cell_length_c 4.914
_cell_angle_alpha 90.00
_cell_angle_beta 120.16
_cell_angle_gamma 90.00
loop_
_symmetry_equiv_pos_as_xyz
'x,y,z'
'-x,-y,-z'
'-x,y,-z+1/2'
'x,-y,z+1/2'
'x+1/2,y+1/2,z'
'-x+1/2,-y+1/2,-z'
'-x+1/2,y+1/2,-z+1/2'
'x+1/2,-y+1/2,z+1/2'
loop_
_atom_site_label
_atom_site_type_symbol
_atom_site_fract_x
_atom_site_fract_y
_atom_site_fract_z
_atom_site_occupancy
Ta1 Ta 0.161 0.119 0.082 1
Zn1 Zn 0.000 0.375 0.250 1
H1 H 0.000 0.253 0.750 1
```

Calculated values
Total moment = 0.0000 μB per atom
Total DFT energy (no corrections) = -113.0 eV per cell